An optimized crystal structure of PrYAu6. Source: OQMD, functional PBE.

Results
Energy of formation ... -529 kJ/mol of formula units
Space-group type ... No. 25

abc: 5.0882 6.2943 5.1874
angles: 90.00 90.00 90.00
Last column: nearest neighbours and their distance in Å.
Fractional coordinates of all 8 atoms:
Au (0.0000, 0.2651, 0.3380)  7 Au 2.96-3.15, 2 Pr 3.07-3.10, 2 Y 3.09
Au (0.0000, 0.7349, 0.3380)  7 Au 2.96-3.15, 2 Pr 3.07-3.10, 2 Y 3.09
Au (0.0000, 0.5000, 0.8330)  8 Au 2.96-3.13, 2 Y 3.04, 2 Pr 3.15
Au (0.5000, 0.7506, 0.6588)  8 Au 2.95-3.16, 2 Y 3.02-3.06, 2 Pr 3.14
Au (0.5000, 0.0000, 0.1771)  8 Au 2.95-3.15, 2 Pr 3.08, 2 Y 3.15
Au (0.5000, 0.2494, 0.6588)  8 Au 2.95-3.16, 2 Y 3.02-3.06, 2 Pr 3.14
Y (0.5000, 0.5000, 0.1544)  12 Au 3.02-3.15
Pr (0.0000, 0.0000, 0.8418)  12 Au 3.07-3.15

An optimized crystal structure of PrYAu. Source: OQMD, functional PBE.

Results
Energy of formation ... -165 kJ/mol of formula units
Space-group type ... No. 62
Offset from the most stable computed form ... 0.021 eV per atom

abc: 7.1469 5.0893 9.3113
angles: 90.00 90.00 90.00
Last column: nearest neighbours and their distance in Å.
Fractional coordinates of all 12 atoms:
Au (0.2733, 0.7500, 0.9034)  3 Y 2.97-3.13, 4 Pr 3.01-3.18
Au (0.2267, 0.2500, 0.4034)  3 Y 2.97-3.13, 4 Pr 3.01-3.18
Au (0.7267, 0.2500, 0.0966)  3 Y 2.97-3.13, 4 Pr 3.01-3.18
Au (0.7733, 0.7500, 0.5966)  3 Y 2.97-3.13, 4 Pr 3.01-3.18
Pr (0.8483, 0.7500, 0.9142)  4 Au 3.01-3.18
Pr (0.6517, 0.2500, 0.4142)  4 Au 3.01-3.18
Pr (0.1517, 0.2500, 0.0857)  4 Au 3.01-3.18
Pr (0.3483, 0.7500, 0.5858)  4 Au 3.01-3.18
Y (0.4931, 0.7500, 0.1743)  3 Au 2.97-3.13
Y (0.0069, 0.2500, 0.6743)  3 Au 2.97-3.13
Y (0.5069, 0.2500, 0.8257)  3 Au 2.97-3.13
Y (0.9931, 0.7500, 0.3257)  3 Au 2.97-3.13